# 1
The following is a PBE calculation of Nd2Sm12Ho5 after structural relaxation, from the Alexandria database.

Cell: 9.4643 9.4643 7.9351 Å, 90.54 90.54 64.66°
Closest atoms and distances in Å follow each position.
Fractional positions:
Nd 0.2249 0.7751 0.0000  8 Sm 3.51-3.71, 2 Ho 3.71
Nd 0.7751 0.2249 0.0000  8 Sm 3.51-3.71, 2 Ho 3.71
Sm 0.0397 0.5734 0.2055  4 Ho 3.48-3.66, 6 Sm 3.51-3.73, 1 Nd 3.51
Sm 0.1590 0.1590 0.1224  2 Ho 3.23-3.51, 2 Nd 3.54, 4 Sm 3.56-3.60
Sm 0.1682 0.6204 0.6099  4 Ho 3.37-3.66, 5 Sm 3.49-3.60, 1 Nd 3.55
Sm 0.3796 0.8318 0.3901  4 Ho 3.37-3.66, 5 Sm 3.49-3.60, 1 Nd 3.55
Sm 0.4266 0.9603 0.7945  4 Ho 3.48-3.66, 6 Sm 3.51-3.73, 1 Nd 3.51
Sm 0.4484 0.4484 0.2896  3 Ho 3.32-3.62, 7 Sm 3.49-3.71, 2 Nd 3.71
Sm 0.5516 0.5516 0.7104  3 Ho 3.32-3.62, 7 Sm 3.49-3.71, 2 Nd 3.71
Sm 0.5734 0.0397 0.2055  4 Ho 3.48-3.66, 6 Sm 3.51-3.73, 1 Nd 3.51
Sm 0.6204 0.1682 0.6099  4 Ho 3.37-3.66, 5 Sm 3.49-3.60, 1 Nd 3.55
Sm 0.8318 0.3796 0.3901  4 Ho 3.37-3.66, 5 Sm 3.49-3.60, 1 Nd 3.55
Sm 0.8410 0.8410 0.8776  2 Ho 3.23-3.51, 2 Nd 3.54, 4 Sm 3.56-3.60
Sm 0.9603 0.4266 0.7945  4 Ho 3.48-3.66, 6 Sm 3.51-3.73, 1 Nd 3.51
Ho 0.0000 0.0000 0.5000  4 Sm 3.37
Ho 0.2465 0.2465 0.4914  5 Sm 3.23-3.48
Ho 0.3524 0.3524 0.9161  9 Sm 3.32-3.63, 2 Nd 3.71
Ho 0.6476 0.6476 0.0839  9 Sm 3.32-3.63, 2 Nd 3.71
Ho 0.7535 0.7535 0.5086  5 Sm 3.23-3.48

Values from the calculation:
E_form ... 128.4 meV/atom

# 2
The following is a PBE calculation of Nd4Sm5Ho2 after structural relaxation, from the Alexandria database.

Cell: 12.2774 12.2774 8.7812 Å, 94.41 94.41 16.71°
Closest atoms and distances in Å follow each position.
Fractional positions:
Nd 0.0403 0.0403 0.3457  3 Nd 3.46-3.57, 4 Sm 3.55-3.60, 4 Ho 3.57-3.67
Nd 0.2743 0.2743 0.1741  1 Ho 3.46, 6 Sm 3.56-3.63, 4 Nd 3.57-3.66
Nd 0.7257 0.7257 0.8259  1 Ho 3.46, 6 Sm 3.56-3.63, 4 Nd 3.57-3.66
Nd 0.9597 0.9597 0.6543  3 Nd 3.46-3.57, 4 Sm 3.55-3.60, 4 Ho 3.57-3.67
Sm 0.1302 0.1302 0.0460  4 Nd 3.55-3.61, 5 Sm 3.57-3.89, 2 Ho 3.63
Sm 0.1843 0.1843 0.4752  4 Nd 3.56-3.63, 5 Sm 3.57-3.89, 2 Ho 3.64
Sm 0.5000 0.5000 0.0000  2 Ho 3.53, 6 Sm 3.57-3.63, 4 Nd 3.59
Sm 0.8157 0.8157 0.5248  4 Nd 3.56-3.63, 5 Sm 3.57-3.89, 2 Ho 3.64
Sm 0.8698 0.8698 0.9540  4 Nd 3.55-3.61, 5 Sm 3.57-3.89, 2 Ho 3.63
Ho 0.4126 0.4126 0.3027  5 Nd 3.46-3.67, 5 Sm 3.53-3.64, 2 Ho 3.57
Ho 0.5874 0.5874 0.6973  5 Nd 3.46-3.67, 5 Sm 3.53-3.64, 2 Ho 3.57

Values from the calculation:
E_form ... 97.7 meV/atom
ΔE to the lowest computed polymorph ... 0.000 eV/atom

# 3
The following is a PBE calculation of Nd6Sm12Ho after structural relaxation, from the Alexandria database.

Cell: 8.7015 8.7015 8.7015 Å, 89.24 89.24 89.24°
Closest atoms and distances in Å follow each position.
Fractional positions:
Nd 0.1968 0.5939 0.7621  7 Sm 3.42-3.75, 1 Ho 3.56, 2 Nd 3.59
Nd 0.2379 0.8032 0.4061  7 Sm 3.42-3.75, 1 Ho 3.56, 2 Nd 3.59
Nd 0.4061 0.2379 0.8032  7 Sm 3.42-3.75, 1 Ho 3.56, 2 Nd 3.59
Nd 0.5939 0.7621 0.1968  7 Sm 3.42-3.75, 1 Ho 3.56, 2 Nd 3.59
Nd 0.7621 0.1968 0.5939  7 Sm 3.42-3.75, 1 Ho 3.56, 2 Nd 3.59
Nd 0.8032 0.4061 0.2379  7 Sm 3.42-3.75, 1 Ho 3.56, 2 Nd 3.59
Sm 0.0365 0.2781 0.9365  6 Sm 3.34-3.72, 3 Nd 3.42-3.48
Sm 0.0635 0.9635 0.7219  6 Sm 3.34-3.72, 3 Nd 3.42-3.48
Sm 0.1415 0.3049 0.4831  4 Sm 3.48-3.67, 4 Nd 3.56-3.75, 1 Ho 3.58
Sm 0.2781 0.9365 0.0365  6 Sm 3.34-3.72, 3 Nd 3.42-3.48
Sm 0.3049 0.4831 0.1415  4 Sm 3.48-3.67, 4 Nd 3.56-3.75, 1 Ho 3.58
Sm 0.4831 0.1415 0.3049  4 Sm 3.48-3.67, 4 Nd 3.56-3.75, 1 Ho 3.58
Sm 0.5169 0.8585 0.6951  4 Sm 3.48-3.67, 4 Nd 3.56-3.75, 1 Ho 3.58
Sm 0.6951 0.5169 0.8585  4 Sm 3.48-3.67, 4 Nd 3.56-3.75, 1 Ho 3.58
Sm 0.7219 0.0635 0.9635  6 Sm 3.34-3.72, 3 Nd 3.42-3.48
Sm 0.8585 0.6951 0.5169  4 Sm 3.48-3.67, 4 Nd 3.56-3.75, 1 Ho 3.58
Sm 0.9365 0.0365 0.2781  6 Sm 3.34-3.72, 3 Nd 3.42-3.48
Sm 0.9635 0.7219 0.0635  6 Sm 3.34-3.72, 3 Nd 3.42-3.48
Ho 0.5000 0.5000 0.5000  6 Nd 3.56, 6 Sm 3.58

Values from the calculation:
E_form ... 135.9 meV/atom
ΔE to the lowest computed polymorph ... 0.000 eV/atom